Material: VBrF
Method: DFT, PBE with a Hubbard U
State: optimized geometry Values from VASP.

```
&SYSTEM
  ibrav = 0, nat = 3, ntyp = 3
/
ATOMIC_SPECIES
V 50.94 V.upf
Br 79.90 Br.upf
F 19.00 F.upf
ATOMIC_POSITIONS angstrom
V 0.000 0.000 0.000
Br 0.000 2.077 3.997
F 1.799 1.039 0.850
CELL_PARAMETERS angstrom
3.597 0.000 0.000
-1.799 3.116 0.000
0.000 0.000 5.619
```

## Properties
Calculated volume (Å³/cell): 63
Spin magnetization (μB/f.u.): 3.000
Distance to the lowest polymorph of the same formula (eV per atom): 0.095